[1]
LiMnPtAu | PBE | optimized geometry

Values from the calculation:
Total magnetization ... 4.399 μB/f.u.
DFT formation energy ... -1.490 eV/f.u.

abc: 3.059 3.059 6.377
angles: 90.00 90.00 90.00
Space group P4mm (No. 99)
Symmetry-distinct sites (fractional):
Li  0.000  0.000  0.000 x1
Mn  0.000  0.000  0.481 x1
Pt  0.500  0.500  0.236 x1
Au  0.500  0.500  0.755 x1



[2]
LiMn2RhAu | PBE | optimized geometry

Values from the calculation:
Total magnetization ... 8.739 μB/f.u.
DFT formation energy ... 3.630 eV/f.u.

abc: 4.300 4.300 4.189
angles: 90.00 90.00 90.00
Space group P4/mmm (No. 123)
Symmetry-distinct sites (fractional):
Li  0.000  0.000  0.000 x1
Mn  0.000  0.500  0.000 x2
Rh  0.500  0.500  0.500 x1
Au  0.000  0.000  0.500 x1



[3]
LiMnTlAu2 | PBE | optimized geometry

Values from the calculation:
Total magnetization ... 3.697 μB/f.u.
DFT formation energy ... 1.601 eV/f.u.

abc: 5.032 5.032 5.166
angles: 90.00 90.00 90.00
Space group P4/mmm (No. 123)
Symmetry-distinct sites (fractional):
Li  0.000  0.000  0.000 x1
Mn  0.500  0.500  0.500 x1
Tl  0.500  0.500  0.000 x1
Au  0.000  0.500  0.500 x2



[4]
Li2MoAu | PBE | optimized geometry

Values from the calculation:
Total magnetization ... 0.000 μB/f.u.
DFT formation energy ... 0.175 eV/f.u.

abc: 3.383 4.190 8.729
angles: 90.00 90.00 90.00
Space group Cmmm (No. 65)
Symmetry-distinct sites (fractional):
Li  0.000  0.000  0.236 x4
Mo  0.000  0.500  0.500 x2
Au  0.000  0.500  0.000 x2



[5]
LiMoAu2 | PBE | optimized geometry

Values from the calculation:
Total magnetization ... 0.615 μB/f.u.
DFT formation energy ... -0.268 eV/f.u.

abc: 6.930 6.997 2.743
angles: 90.00 90.00 90.00
Space group Cmmm (No. 65)
Symmetry-distinct sites (fractional):
Li  0.000  0.000  0.000 x2
Mo  0.000  0.500  0.000 x2
Au  0.250  0.250  0.500 x4



[6]
LiMo2Au | PBE | optimized geometry

Values from the calculation:
Total magnetization ... 0.000 μB/f.u.
DFT formation energy ... 0.879 eV/f.u.

abc: 5.116 9.478 2.659
angles: 90.00 102.82 90.00
Space group C2/m (No. 12)
Symmetry-distinct sites (fractional):
Li  0.000  0.000  0.000 x2
Mo  0.250  0.250  0.500 x4
Au  0.000  0.500  0.000 x2



Copy entry 2 word for word.
LiMn2RhAu | PBE | optimized geometry

Values from the calculation:
Total magnetization ... 8.739 μB/f.u.
DFT formation energy ... 3.630 eV/f.u.

abc: 4.300 4.300 4.189
angles: 90.00 90.00 90.00
Space group P4/mmm (No. 123)
Symmetry-distinct sites (fractional):
Li  0.000  0.000  0.000 x1
Mn  0.000  0.500  0.000 x2
Rh  0.500  0.500  0.500 x1
Au  0.000  0.000  0.500 x1